# 1
A plane-wave DFT calculation with PBE was carried out for crystalline DyZnPd4 at its relaxed geometry.

```
DyZnPd4
1.0
3.737 0.000 0.000
1.869 6.245 -0.923
1.869 -1.395 4.538
Pd Dy Zn
4 1 1
Direct
0.812 0.846 0.529
0.647 0.688 0.018
0.188 0.154 0.471
0.353 0.312 0.982
0.500 0.500 0.500
0.000 0.000 0.000
```

Results
DFT total energy: -5.069 eV/atom
Volume: 101.10 Å³/f.u.
Space group: C2/m, No. 12
Theoretical density: 10735 kg/m3

---

# 2
A plane-wave DFT calculation with PBE was carried out for crystalline Dy5ZnPd2 at its relaxed geometry.

```
Dy5ZnPd2
1.0
-5.438 -1.525 5.381
-1.680 -6.713 -3.601
8.055 1.027 2.778
Dy Zn Pd
10 2 4
Direct
0.000 0.000 0.000
0.983 0.483 0.287
0.500 0.500 0.000
0.483 0.304 0.287
0.696 0.196 0.713
0.304 0.804 0.287
0.517 0.696 0.713
0.804 0.983 0.287
0.017 0.517 0.713
0.196 0.017 0.713
0.250 0.250 0.500
0.750 0.750 0.500
0.367 0.867 0.000
0.633 0.133 0.000
0.867 0.633 0.000
0.133 0.367 0.000
```

Results
DFT total energy: -4.853 eV/atom
Volume: 200.07 Å³/f.u.
Space group: I4/mcm, No. 140
Theoretical density: 9053 kg/m3

---

# 3
A plane-wave DFT calculation with PBE was carried out for crystalline DyZnPd2 at its relaxed geometry.

```
DyZnPd2
1.0
-2.254 4.878 -1.661
-2.644 1.054 6.684
6.034 3.417 1.848
Dy Zn Pd
4 4 8
Direct
0.362 0.250 0.024
0.638 0.750 0.976
0.862 0.750 0.476
0.138 0.250 0.524
0.359 0.750 0.612
0.859 0.250 0.888
0.141 0.750 0.112
0.641 0.250 0.388
0.087 0.549 0.812
0.087 0.951 0.812
0.913 0.049 0.188
0.587 0.049 0.688
0.913 0.451 0.188
0.413 0.951 0.312
0.587 0.451 0.688
0.413 0.549 0.312
```

Results
DFT total energy: -4.823 eV/atom
Volume: 73.29 Å³/f.u.
Space group: Pnma, No. 62
Theoretical density: 9986 kg/m3

---

# 4
A plane-wave DFT calculation with PBE was carried out for crystalline DyZn9Pd3 at its relaxed geometry.

```
DyZn9Pd3
1.0
-2.496 -1.520 4.448
2.363 -5.803 2.680
2.912 2.532 5.683
Zn Dy Pd
9 1 3
Direct
0.000 0.500 0.000
0.009 0.654 0.352
0.639 0.346 0.352
0.361 0.654 0.648
0.495 0.215 0.784
0.505 0.785 0.216
0.721 0.785 0.784
0.279 0.215 0.216
0.991 0.346 0.648
0.000 0.000 0.000
0.500 0.000 0.500
0.000 0.000 0.500
0.500 0.500 0.000
```

Results
DFT total energy: -2.814 eV/atom
Volume: 209.55 Å³/f.u.
Space group: C2/m, No. 12
Theoretical density: 8482 kg/m3

---

# 5
A plane-wave DFT calculation with PBE was carried out for crystalline Dy8Zn2Pd at its relaxed geometry.

```
Dy8Zn2Pd
1.0
5.075 0.000 0.000
0.000 6.736 0.351
-2.537 -2.466 8.451
Dy Zn Pd
8 2 1
Direct
0.202 0.321 0.405
0.409 0.550 0.818
0.798 0.679 0.595
0.591 0.450 0.182
0.660 0.968 0.321
0.973 0.225 0.946
0.340 0.032 0.679
0.027 0.775 0.054
0.809 0.264 0.619
0.191 0.736 0.381
0.500 0.000 0.000
```

Results
DFT total energy: -4.295 eV/atom
Volume: 293.27 Å³/f.u.
Space group: C2/m, No. 12
Theoretical density: 8704 kg/m3

---

# 6
A plane-wave DFT calculation with PBE was carried out for crystalline Dy2Zn15Pd2 at its relaxed geometry.

```
Dy2Zn15Pd2
1.0
6.787 -0.014 -0.012
0.867 6.732 -0.012
0.867 0.761 6.688
Zn Dy Pd
15 2 2
Direct
0.352 0.352 0.843
0.000 0.500 0.000
0.290 0.000 0.710
0.157 0.648 0.648
0.290 0.710 0.000
0.710 0.000 0.290
0.710 0.290 0.000
0.500 0.000 0.000
0.000 0.000 0.500
0.000 0.710 0.290
0.352 0.843 0.352
0.000 0.290 0.710
0.648 0.157 0.648
0.648 0.648 0.157
0.843 0.352 0.352
0.663 0.663 0.663
0.337 0.337 0.337
0.890 0.890 0.890
0.110 0.110 0.110
```

Results
DFT total energy: -2.359 eV/atom
Volume: 305.79 Å³/f.u.
Space group: R-3m, No. 166
Theoretical density: 8248 kg/m3

---

Computed energy of formation (eV per atom) in order:
-0.627, -0.520, -0.758, -0.380, -0.244, -0.322